No. 1
{
  "formula": "MgTc2PSe",
  "functional": "GGA-PBE",
  "state": "optimized geometry",
  "lattice": [[4.575, 0.000, 0.000], [0.000, 4.575, 0.000], [0.000, 0.000, 4.774]],
  "species": ["Mg", "Tc", "Tc", "P", "Se"],
  "fractional_positions": [[0.000, 0.000, 0.000], [0.000, 0.500, 0.500], [0.500, 0.000, 0.500], [0.500, 0.500, 0.000], [0.000, 0.000, 0.500]],
  "m_tot_mub_per_cell": 0.0,
  "formation_energy_uncorrected_mev_per_atom": 1032,
  "dos_at_fermi_per_ev_cell": 5.24
}



No. 2
{
  "formula": "MgTeP2Se",
  "functional": "GGA-PBE",
  "state": "optimized geometry",
  "lattice": [[4.857, 0.000, 0.000], [0.000, 4.857, 0.000], [0.000, 0.000, 5.354]],
  "species": ["Mg", "Te", "P", "P", "Se"],
  "fractional_positions": [[0.000, 0.000, 0.000], [0.500, 0.500, 0.000], [0.000, 0.500, 0.500], [0.500, 0.000, 0.500], [0.500, 0.500, 0.500]],
  "m_tot_mub_per_cell": 0.0,
  "formation_energy_uncorrected_mev_per_atom": 720,
  "dos_at_fermi_per_ev_cell": 4.72
}



No. 3
{
  "formula": "Tm6MgP2Se3",
  "functional": "GGA-PBE",
  "state": "optimized geometry",
  "lattice": [[8.774, -1.988, 0.000], [8.774, 1.988, 0.000], [-1.675, 0.000, 8.062]],
  "species": ["Tm", "Tm", "Tm", "Tm", "Tm", "Tm", "Mg", "P", "P", "Se", "Se", "Se"],
  "fractional_positions": [[0.010, 0.010, 0.273], [0.325, 0.325, 0.887], [0.328, 0.328, 0.426], [0.672, 0.672, 0.574], [0.675, 0.675, 0.113], [0.990, 0.990, 0.727], [0.500, 0.500, 0.000], [0.170, 0.170, 0.341], [0.830, 0.830, 0.659], [0.163, 0.163, 0.836], [0.500, 0.500, 0.500], [0.837, 0.837, 0.164]],
  "m_tot_mub_per_cell": 0.0,
  "formation_energy_uncorrected_mev_per_atom": -1323,
  "dos_at_fermi_per_ev_cell": 4.18
}



No. 4
{
  "formula": "Y2MgPSe",
  "functional": "GGA-PBE",
  "state": "optimized geometry",
  "lattice": [[5.337, 0.000, 0.000], [0.000, 5.337, 0.000], [0.000, 0.000, 4.652]],
  "species": ["Y", "Y", "Mg", "P", "Se"],
  "fractional_positions": [[0.000, 0.500, 0.000], [0.500, 0.000, 0.000], [0.000, 0.000, 0.500], [0.000, 0.000, 0.000], [0.500, 0.500, 0.500]],
  "m_tot_mub_per_cell": 0.0,
  "formation_energy_uncorrected_mev_per_atom": -635,
  "dos_at_fermi_per_ev_cell": 4.81
}



No. 5
{
  "formula": "Y6MgP2Se3",
  "functional": "GGA-PBE",
  "state": "optimized geometry",
  "lattice": [[8.941, -2.026, 0.000], [8.941, 2.026, 0.000], [-1.837, 0.000, 8.140]],
  "species": ["Y", "Y", "Y", "Y", "Y", "Y", "Mg", "P", "P", "Se", "Se", "Se"],
  "fractional_positions": [[0.008, 0.008, 0.272], [0.326, 0.326, 0.892], [0.328, 0.328, 0.428], [0.672, 0.672, 0.572], [0.674, 0.674, 0.108], [0.992, 0.992, 0.728], [0.500, 0.500, 0.000], [0.168, 0.168, 0.338], [0.832, 0.832, 0.662], [0.164, 0.164, 0.834], [0.500, 0.500, 0.500], [0.836, 0.836, 0.166]],
  "m_tot_mub_per_cell": 0.0,
  "formation_energy_uncorrected_mev_per_atom": -1401,
  "dos_at_fermi_per_ev_cell": 5.68
}



No. 6
{
  "formula": "MgZr2PSe",
  "functional": "GGA-PBE",
  "state": "optimized geometry",
  "lattice": [[5.203, 0.000, 0.000], [0.000, 5.203, 0.000], [0.000, 0.000, 4.419]],
  "species": ["Mg", "Zr", "Zr", "P", "Se"],
  "fractional_positions": [[0.000, 0.000, 0.000], [0.000, 0.500, 0.000], [0.500, 0.000, 0.000], [0.500, 0.500, 0.500], [0.000, 0.000, 0.500]],
  "m_tot_mub_per_cell": 0.0,
  "formation_energy_uncorrected_mev_per_atom": 827,
  "dos_at_fermi_per_ev_cell": 6.14
}



No. 7
{
  "formula": "MgSiP2",
  "functional": "GGA-PBE",
  "state": "optimized geometry",
  "lattice": [[-2.877, 2.877, 5.110], [2.877, -2.877, 5.110], [2.877, 2.877, -5.110]],
  "species": ["Mg", "Mg", "Si", "Si", "P", "P", "P", "P"],
  "fractional_positions": [[0.000, 0.000, 0.000], [0.750, 0.250, 0.500], [0.250, 0.750, 0.500], [0.500, 0.500, 0.000], [0.167, 0.625, 0.042], [0.375, 0.417, 0.542], [0.583, 0.125, 0.958], [0.875, 0.833, 0.458]],
  "m_tot_mub_per_cell": 0.0,
  "formation_energy_uncorrected_mev_per_atom": -423,
  "relative_energy_mev_per_atom": 0.0,
  "dos_at_fermi_per_ev_cell": 0.00
}



No. 8
{
  "formula": "MgSiP2",
  "functional": "GGA-PBE",
  "state": "optimized geometry",
  "lattice": [[-1.701, 2.698, 3.692], [1.701, -2.698, 3.692], [1.701, 2.698, -3.692]],
  "species": ["Mg", "Si", "P", "P"],
  "fractional_positions": [[0.000, 0.000, 0.000], [0.500, 0.500, 0.000], [0.284, 0.784, 0.500], [0.716, 0.216, 0.500]],
  "m_tot_mub_per_cell": 0.0,
  "formation_energy_uncorrected_mev_per_atom": 124,
  "relative_energy_mev_per_atom": 546.7,
  "dos_at_fermi_per_ev_cell": 1.77
}



No. 9
{
  "formula": "MgSiP",
  "functional": "GGA-PBE",
  "state": "optimized geometry",
  "lattice": [[4.657, 0.000, 0.000], [2.099, 4.821, 0.000], [0.322, 2.367, 5.246]],
  "species": ["Mg", "Mg", "Si", "Si", "P", "P"],
  "fractional_positions": [[0.000, 0.000, 0.000], [0.061, 0.297, 0.345], [0.337, 0.342, 0.829], [0.582, 0.935, 0.693], [0.000, 0.749, 0.493], [0.540, 0.542, 0.034]],
  "m_tot_mub_per_cell": 0.0,
  "formation_energy_uncorrected_mev_per_atom": -148,
  "relative_energy_mev_per_atom": 133.0
}



No. 10
{
  "formula": "MgSiP",
  "functional": "GGA-PBE",
  "state": "optimized geometry",
  "lattice": [[1.738, 1.003, 5.199], [-1.738, 1.003, 5.199], [0.000, -2.007, 5.199]],
  "species": ["Mg", "Si", "P"],
  "fractional_positions": [[0.000, 0.000, 0.000], [0.798, 0.798, 0.798], [0.210, 0.210, 0.210]],
  "m_tot_mub_per_cell": 0.0,
  "formation_energy_uncorrected_mev_per_atom": -119,
  "relative_energy_mev_per_atom": 162.1,
  "dos_at_fermi_per_ev_cell": 0.75
}



No. 11
{
  "formula": "MgSiP2",
  "functional": "GGA-PBE",
  "state": "optimized geometry",
  "lattice": [[-1.804, 1.804, 5.042], [1.804, -1.804, 5.042], [1.804, 1.804, -5.042]],
  "species": ["Mg", "Si", "P", "P"],
  "fractional_positions": [[0.000, 0.000, 0.000], [0.750, 0.250, 0.500], [0.250, 0.750, 0.500], [0.500, 0.500, 0.000]],
  "m_tot_mub_per_cell": 0.0,
  "formation_energy_uncorrected_mev_per_atom": 220,
  "relative_energy_mev_per_atom": 643.0,
  "dos_at_fermi_per_ev_cell": 2.17
}



No. 12
{
  "formula": "MgSiP",
  "functional": "GGA-PBE",
  "state": "optimized geometry",
  "lattice": [[4.491, 0.000, 0.000], [-2.246, 3.889, 0.000], [0.000, 0.000, 2.795]],
  "species": ["Mg", "Si", "P"],
  "fractional_positions": [[0.000, 0.000, 0.000], [0.333, 0.667, 0.500], [0.667, 0.333, 0.500]],
  "m_tot_mub_per_cell": 0.0,
  "formation_energy_uncorrected_mev_per_atom": 163,
  "relative_energy_mev_per_atom": 443.7,
  "dos_at_fermi_per_ev_cell": 1.77
}